No. 1
## AgIrPbS3 (PBE)

Data for AgIrPbS3 after structural relaxation.

Final energy: -4.85 eV/atom
Total moment: 0.0 μB per formula unit
Density: 7.47 g cm⁻³

Lattice parameters (Å, degrees): 3.714 15.320 9.430 90.00 90.00 90.00
Space group Cmcm (No. 63)
Symmetry-distinct sites (fractional):
Ag 0.000 0.164 0.250 (multiplicity 4)
Ir 0.000 0.500 0.000 (multiplicity 4)
Pb 0.000 0.176 0.750 (multiplicity 4)
S 0.000 0.099 0.019 (multiplicity 8)
S 0.000 0.455 0.250 (multiplicity 4)

***

No. 2
## Tl2PdAuF6 (PBE)

Data for Tl2PdAuF6 after structural relaxation.

Final energy: -3.76 eV/atom
Density: 8.66 g cm⁻³

Lattice parameters (Å, degrees): 6.058 6.058 8.631 90.00 90.00 90.00
Space group I4/m (No. 87)
Symmetry-distinct sites (fractional):
Tl 0.000 0.500 0.250 (multiplicity 4)
Pd 0.000 0.000 0.000 (multiplicity 2)
Au 0.000 0.000 0.500 (multiplicity 2)
F 0.000 0.000 0.244 (multiplicity 4)
F 0.205 0.730 0.000 (multiplicity 8)

***

No. 3
## Cu7Ag3 (PBE)

Data for Cu7Ag3 after structural relaxation.

Final energy: -3.36 eV/atom
Density: 9.45 g cm⁻³

Lattice parameters (Å, degrees): 4.629 4.637 12.788 87.47 86.95 80.45
Space group P1 (No. 1)
Symmetry-distinct sites (fractional):
Cu 0.000 0.000 0.000 (multiplicity 1)
Cu 0.001 0.415 0.603 (multiplicity 1)
Cu 0.012 0.224 0.818 (multiplicity 1)
Cu 0.233 0.063 0.444 (multiplicity 1)
Cu 0.243 0.465 0.042 (multiplicity 1)
Cu 0.252 0.675 0.862 (multiplicity 1)
Cu 0.485 0.907 0.094 (multiplicity 1)
Cu 0.505 0.112 0.910 (multiplicity 1)
Cu 0.506 0.723 0.294 (multiplicity 1)
Cu 0.746 0.569 0.949 (multiplicity 1)
Cu 0.752 0.150 0.346 (multiplicity 1)
Cu 0.765 0.766 0.767 (multiplicity 1)
Cu 0.986 0.620 0.390 (multiplicity 1)
Cu 0.998 0.813 0.195 (multiplicity 1)
Ag 0.242 0.873 0.661 (multiplicity 1)
Ag 0.249 0.263 0.249 (multiplicity 1)
Ag 0.479 0.511 0.491 (multiplicity 1)
Ag 0.521 0.319 0.714 (multiplicity 1)
Ag 0.746 0.364 0.141 (multiplicity 1)
Ag 0.754 0.956 0.547 (multiplicity 1)